MnInF4, optimized geometry, DFT PBE+U; calculated total energy = -5.233 eV/atom
1.0
-2.968 -2.451 -1.457
4.248 -3.155 -3.346
1.018 -4.555 5.588
F In Mn
8 2 2
Direct
0.395 0.174 0.201
0.395 0.521 0.500
0.395 0.174 0.799
0.895 0.254 0.500
0.895 0.826 0.701
0.395 0.746 0.000
0.895 0.826 0.299
0.895 0.479 0.000
0.395 0.103 0.500
0.895 0.897 0.000
0.895 0.594 0.500
0.395 0.406 0.000